Model P:
Compound: HoAsNO
Source: OQMD
Functional: PBE
Structure: optimized geometry

Cell and atoms, written as CIF:
```
data_HoAsNO
_cell_length_a 3.690
_cell_length_b 5.704
_cell_length_c 5.516
_cell_angle_alpha 90.00
_cell_angle_beta 90.00
_cell_angle_gamma 90.00
_symmetry_space_group_name_H-M 'P m c 21'
_symmetry_Int_Tables_number 26
_symmetry_space_group_name_Hall 'P 2c -2'
loop_
_atom_site_label
_atom_site_type_symbol
_atom_site_fract_x
_atom_site_fract_y
_atom_site_fract_z
_atom_site_occupancy
Ho1 Ho 0.000 0.167 0.000 1
As1 As 0.500 0.349 0.488 1
N1 N 0.000 0.234 0.404 1
O1 O 0.500 0.135 0.765 1
```

The value obtained for the total magnetic moment is 0.003 μB/cell.

***

Model Q:
Compound: HoAsNO
Source: OQMD
Functional: PBE
Structure: optimized geometry

Cell and atoms, written as CIF:
```
data_HoAsNO
_cell_length_a 4.850
_cell_length_b 4.850
_cell_length_c 4.676
_cell_angle_alpha 90.00
_cell_angle_beta 90.00
_cell_angle_gamma 90.00
_symmetry_space_group_name_H-M 'P 4/n m m'
_symmetry_Int_Tables_number 129
loop_
_symmetry_equiv_pos_as_xyz
'x,y,z'
'-x,-y,-z'
'-y+1/2,x,z'
'y+1/2,-x,-z'
'-x+1/2,-y+1/2,z'
'x+1/2,y+1/2,-z'
'y,-x+1/2,z'
'-y,x+1/2,-z'
'x+1/2,-y,-z'
'-x+1/2,y,z'
'-y,-x,-z'
'y,x,z'
'-x,y+1/2,-z'
'x,-y+1/2,z'
'y+1/2,x+1/2,-z'
'-y+1/2,-x+1/2,z'
loop_
_atom_site_label
_atom_site_type_symbol
_atom_site_fract_x
_atom_site_fract_y
_atom_site_fract_z
_atom_site_occupancy
Ho1 Ho 0.250 0.750 0.000 1
As1 As 0.250 0.250 0.476 1
N1 N 0.250 0.250 0.077 1
O1 O 0.250 0.750 0.500 1
```

The value obtained for the total magnetic moment is 0.005 μB/cell.

***

Model R:
Compound: HoAsNO
Source: OQMD
Functional: PBE
Structure: optimized geometry

Cell and atoms, written as CIF:
```
data_HoAsNO
_cell_length_a 3.927
_cell_length_b 5.962
_cell_length_c 5.937
_cell_angle_alpha 90.00
_cell_angle_beta 90.00
_cell_angle_gamma 90.00
_symmetry_space_group_name_H-M 'P m c 21'
_symmetry_Int_Tables_number 26
_symmetry_space_group_name_Hall 'P 2c -2'
loop_
_atom_site_label
_atom_site_type_symbol
_atom_site_fract_x
_atom_site_fract_y
_atom_site_fract_z
_atom_site_occupancy
Ho1 Ho 0.000 0.203 0.000 1
As1 As 0.500 0.333 0.608 1
N1 N 0.500 0.409 0.930 1
O1 O 0.000 0.098 0.327 1
```

The value obtained for the total magnetic moment is 0.005 μB/cell.

***

Model S:
Compound: HoAsNO
Source: OQMD
Functional: PBE
Structure: optimized geometry

Cell and atoms, written as CIF:
```
data_HoAsNO
_cell_length_a 4.212
_cell_length_b 4.212
_cell_length_c 6.953
_cell_angle_alpha 90.00
_cell_angle_beta 90.00
_cell_angle_gamma 90.00
_symmetry_space_group_name_H-M 'P 4/n m m'
_symmetry_Int_Tables_number 129
loop_
_symmetry_equiv_pos_as_xyz
'x,y,z'
'-x,-y,-z'
'-y+1/2,x,z'
'y+1/2,-x,-z'
'-x+1/2,-y+1/2,z'
'x+1/2,y+1/2,-z'
'y,-x+1/2,z'
'-y,x+1/2,-z'
'x+1/2,-y,-z'
'-x+1/2,y,z'
'-y,-x,-z'
'y,x,z'
'-x,y+1/2,-z'
'x,-y+1/2,z'
'y+1/2,x+1/2,-z'
'-y+1/2,-x+1/2,z'
loop_
_atom_site_label
_atom_site_type_symbol
_atom_site_fract_x
_atom_site_fract_y
_atom_site_fract_z
_atom_site_occupancy
Ho1 Ho 0.250 0.250 0.136 1
As1 As 0.250 0.750 0.500 1
N1 N 0.250 0.250 0.470 1
O1 O 0.250 0.750 0.000 1
```

The value obtained for the total magnetic moment is 0.001 μB/cell.

***

Which of them is most stable? Easy: model R.

***

Model P:
Compound: HoAs2O
Source: OQMD
Functional: PBE
Structure: optimized geometry

Cell and atoms, written as CIF:
```
data_HoAs2O
_cell_length_a 3.856
_cell_length_b 3.856
_cell_length_c 10.165
_cell_angle_alpha 90.00
_cell_angle_beta 90.00
_cell_angle_gamma 90.00
_symmetry_space_group_name_H-M 'P 4/n m m'
_symmetry_Int_Tables_number 129
loop_
_symmetry_equiv_pos_as_xyz
'x,y,z'
'-x,-y,-z'
'-y+1/2,x,z'
'y+1/2,-x,-z'
'-x+1/2,-y+1/2,z'
'x+1/2,y+1/2,-z'
'y,-x+1/2,z'
'-y,x+1/2,-z'
'x+1/2,-y,-z'
'-x+1/2,y,z'
'-y,-x,-z'
'y,x,z'
'-x,y+1/2,-z'
'x,-y+1/2,z'
'y+1/2,x+1/2,-z'
'-y+1/2,-x+1/2,z'
loop_
_atom_site_label
_atom_site_type_symbol
_atom_site_fract_x
_atom_site_fract_y
_atom_site_fract_z
_atom_site_occupancy
Ho1 Ho 0.250 0.250 0.109 1
As1 As 0.250 0.250 0.716 1
As2 As 0.250 0.750 0.500 1
O1 O 0.250 0.750 0.000 1
```

The value obtained for the total magnetic moment is 0.006 μB/cell.

***

Model Q:
Compound: HoAs2O
Source: OQMD
Functional: PBE
Structure: optimized geometry

Cell and atoms, written as CIF:
```
data_HoAs2O
_cell_length_a 4.698
_cell_length_b 4.698
_cell_length_c 7.083
_cell_angle_alpha 90.00
_cell_angle_beta 90.00
_cell_angle_gamma 90.00
_symmetry_space_group_name_H-M 'P 4/n m m'
_symmetry_Int_Tables_number 129
loop_
_symmetry_equiv_pos_as_xyz
'x,y,z'
'-x,-y,-z'
'-y+1/2,x,z'
'y+1/2,-x,-z'
'-x+1/2,-y+1/2,z'
'x+1/2,y+1/2,-z'
'y,-x+1/2,z'
'-y,x+1/2,-z'
'x+1/2,-y,-z'
'-x+1/2,y,z'
'-y,-x,-z'
'y,x,z'
'-x,y+1/2,-z'
'x,-y+1/2,z'
'y+1/2,x+1/2,-z'
'-y+1/2,-x+1/2,z'
loop_
_atom_site_label
_atom_site_type_symbol
_atom_site_fract_x
_atom_site_fract_y
_atom_site_fract_z
_atom_site_occupancy
Ho1 Ho 0.250 0.750 0.000 1
As1 As 0.250 0.250 0.203 1
As2 As 0.250 0.250 0.554 1
O1 O 0.250 0.750 0.500 1
```

The value obtained for the total magnetic moment is 0.014 μB/cell.

***

Model R:
Compound: HoAs2O
Source: OQMD
Functional: PBE
Structure: optimized geometry

Cell and atoms, written as CIF:
```
data_HoAs2O
_cell_length_a 3.791
_cell_length_b 3.791
_cell_length_c 10.631
_cell_angle_alpha 90.00
_cell_angle_beta 90.00
_cell_angle_gamma 90.00
_symmetry_space_group_name_H-M 'P 4/n m m'
_symmetry_Int_Tables_number 129
loop_
_symmetry_equiv_pos_as_xyz
'x,y,z'
'-x,-y,-z'
'-y+1/2,x,z'
'y+1/2,-x,-z'
'-x+1/2,-y+1/2,z'
'x+1/2,y+1/2,-z'
'y,-x+1/2,z'
'-y,x+1/2,-z'
'x+1/2,-y,-z'
'-x+1/2,y,z'
'-y,-x,-z'
'y,x,z'
'-x,y+1/2,-z'
'x,-y+1/2,z'
'y+1/2,x+1/2,-z'
'-y+1/2,-x+1/2,z'
loop_
_atom_site_label
_atom_site_type_symbol
_atom_site_fract_x
_atom_site_fract_y
_atom_site_fract_z
_atom_site_occupancy
Ho1 Ho 0.250 0.250 0.106 1
As1 As 0.250 0.250 0.717 1
As2 As 0.250 0.750 0.500 1
O1 O 0.250 0.750 0.000 1
```

The value obtained for the total magnetic moment is 0.009 μB/cell.

***

Which of them is most stable? Easy: model R.